Here is an optimized crystal structure of Zn2InP from Alexandria via LeMat-Bulk. Energies are from PBE.

a b c (Å): 3.5310 3.5310 6.4846
angles (deg): 90.00 90.00 90.00
Fractional coordinates of all 4 atoms:
Zn 0.0000 0.0000 0.0000
Zn 0.5000 0.5000 0.3409
In 0.0000 0.0000 0.5692
P 0.5000 0.5000 0.9793

Values from the calculation:
Its symmetry is P4mm, No. 99. The value obtained for the total magnetic moment is 0.0 μB/f.u. The calculation puts the uncorrected energy at -2.515 eV per atom. The density of states at the Fermi level is 2.2 states/eV/cell.